# W2SF (GGA+U, relaxed)
# Total magnetic moment   2.10 μB per cell
# Energy relative to the lowest polymorph listed for this composition   0.0000 eV per atom
# E_tot   -37.533 eV for the cell shown
data_W2SF
_chemical_formula_sum 'W4 S2 F2'
_space_group_name_H-M_alt 'P 1'
_space_group_IT_number 1
_space_group_name_Hall 'P 1'
_cell_length_a 8.277
_cell_length_b 8.277
_cell_length_c 8.277
_cell_angle_alpha 151.82
_cell_angle_beta 151.82
_cell_angle_gamma 40.28
loop_
_atom_site_label
_atom_site_fract_x
_atom_site_fract_y
_atom_site_fract_z
_atom_site_occupancy
W1 0.116 0.625 0.991 1
W2 0.375 0.366 0.491 1
W3 0.634 0.125 0.009 1
W4 0.875 0.884 0.509 1
S1 0.250 0.750 0.500 1
S2 0.500 0.500 0.000 1
F1 0.000 0.000 0.000 1
F2 0.750 0.250 0.500 1